No. 1
Material: SmCd5Au6
Method: DFT, PBE
State: optimized geometry

Output
DFT formation energy = -299 meV/atom
E = -0.1994 Ry/atom
Magnetization = 0.000 μB per atom

Cell: 4.959 8.449 8.449 Å, 119.94 107.38 107.38°
Element x y z (fractional)
Cd 0.500 0.160 0.840
Cd 0.500 0.840 0.160
Cd 0.000 0.331 0.669
Cd 0.500 0.500 0.500
Cd 0.000 0.669 0.331
Au 0.258 0.431 0.087
Au 0.742 0.569 0.913
Au 0.231 0.733 0.733
Au 0.769 0.267 0.267
Au 0.258 0.087 0.431
Au 0.742 0.913 0.569
Sm 0.000 0.000 0.000


No. 2
Material: NaIn4Pd15
Method: DFT, PBE
State: optimized geometry

Output
DFT formation energy = -339 meV/atom
E = -0.3562 Ry/atom
Magnetization = 0.000 μB per atom

Cell: 4.047 4.047 20.075 Å, 90.00 90.00 90.00°
Element x y z (fractional)
Pd 0.500 0.500 0.601
Pd 0.500 0.000 0.500
Pd 0.500 0.000 0.899
Pd 0.000 0.500 0.299
Pd 0.500 0.500 0.000
Pd 0.500 0.500 0.199
Pd 0.500 0.000 0.701
Pd 0.500 0.000 0.101
Pd 0.500 0.500 0.801
Pd 0.000 0.500 0.899
Pd 0.500 0.500 0.399
Pd 0.500 0.000 0.299
Pd 0.000 0.500 0.101
Pd 0.000 0.500 0.701
Pd 0.000 0.500 0.500
Na 0.000 0.000 0.000
In 0.000 0.000 0.801
In 0.000 0.000 0.600
In 0.000 0.000 0.199
In 0.000 0.000 0.400